An optimized crystal structure of Na3Co2PdO6, computed with GGA+U.

## Properties
**E**: -5.18 eV/atom

Lattice parameters (Å, degrees): 5.2026 5.2026 5.5966 99.98 99.98 118.41
Sites, in units of the cell vectors:
Co: 0.6654 0.3346 0.0000
Co: 0.3346 0.6654 0.0000
O: 0.4158 0.0694 0.1901
O: 0.0694 0.4158 0.1901
O: 0.2985 0.2985 0.7957
O: 0.9306 0.5842 0.8099
O: 0.5842 0.9306 0.8099
O: 0.7015 0.7015 0.2043
Pd: 0.0000 0.0000 0.0000
Na: 0.8362 0.1638 0.5000
Na: 0.5000 0.5000 0.5000
Na: 0.1638 0.8362 0.5000